A plane-wave DFT calculation with PBE-GGA was carried out for a relaxed structure of LiHf2Pt2.

## Properties
energy relative to the lowest polymorph listed for this composition = 0.000 eV per atom
DOS(E_F) = 0.813 states/eV per atom
calculated density = 13.190 g cm⁻³
VASP energy = -7.63 eV/atom
total magnetic moment = 0.00 Bohr magnetons per cell

Unit cell a=7.6253 b=7.6253 c=3.2655 alpha=90.00 beta=90.00 gamma=90.00
Closest atoms and distances in Å follow each position.
Fractional coordinates of all 10 atoms:
Hf (0.1614, 0.6614, 0.5000)  6 Pt 2.72-2.81
Hf (0.6614, 0.8386, 0.5000)  6 Pt 2.72-2.81
Hf (0.8386, 0.3386, 0.5000)  6 Pt 2.72-2.81
Hf (0.3386, 0.1614, 0.5000)  6 Pt 2.72-2.81
Pt (0.3626, 0.8626, 0.0000)  6 Hf 2.72-2.81, 2 Li 2.96, 1 Pt 2.96
Pt (0.8626, 0.6374, 0.0000)  6 Hf 2.72-2.81, 2 Li 2.96, 1 Pt 2.96
Pt (0.6374, 0.1374, 0.0000)  6 Hf 2.72-2.81, 2 Li 2.96, 1 Pt 2.96
Pt (0.1374, 0.3626, 0.0000)  6 Hf 2.72-2.81, 2 Li 2.96, 1 Pt 2.96
Li (0.0000, 0.0000, 0.0000)  4 Pt 2.96, 2 Li 3.27, 8 Hf 3.29
Li (0.5000, 0.5000, 0.0000)  4 Pt 2.96, 2 Li 3.27, 8 Hf 3.29



A plane-wave DFT calculation with PBE-GGA was carried out for a relaxed structure of CePm8Sm6.

## Properties
DOS(E_F) = 1.737 states/eV per atom
calculated density = 7.117 g cm⁻³
VASP energy = -4.69 eV/atom
total magnetic moment = 1.16 Bohr magnetons per cell

Unit cell a=8.7806 b=8.7806 c=8.7806 alpha=63.31 beta=63.31 gamma=63.31
Closest atoms and distances in Å follow each position.
Fractional coordinates of all 15 atoms:
Ce (0.0000, 0.0000, 0.0000)  6 Sm 3.51, 6 Pm 3.54
Pm (0.2842, 0.8861, 0.2457)  3 Sm 3.44-3.77, 5 Pm 3.47-3.51, 1 Ce 3.54
Pm (0.8861, 0.2457, 0.2842)  3 Sm 3.44-3.77, 5 Pm 3.47-3.51, 1 Ce 3.54
Pm (0.2457, 0.2842, 0.8861)  3 Sm 3.44-3.77, 5 Pm 3.47-3.51, 1 Ce 3.54
Pm (0.7158, 0.1139, 0.7543)  3 Sm 3.44-3.77, 5 Pm 3.47-3.51, 1 Ce 3.54
Pm (0.1139, 0.7543, 0.7158)  3 Sm 3.44-3.77, 5 Pm 3.47-3.51, 1 Ce 3.54
Pm (0.7543, 0.7158, 0.1139)  3 Sm 3.44-3.77, 5 Pm 3.47-3.51, 1 Ce 3.54
Pm (0.5776, 0.5776, 0.5776)  4 Pm 3.25-3.47, 3 Sm 3.42
Pm (0.4224, 0.4224, 0.4224)  4 Pm 3.25-3.47, 3 Sm 3.42
Sm (0.0999, 0.2378, 0.5396)  4 Pm 3.42-3.77, 1 Ce 3.51, 4 Sm 3.59-3.81
Sm (0.2378, 0.5396, 0.0999)  4 Pm 3.42-3.77, 1 Ce 3.51, 4 Sm 3.59-3.81
Sm (0.5396, 0.0999, 0.2378)  4 Pm 3.42-3.77, 1 Ce 3.51, 4 Sm 3.59-3.81
Sm (0.9001, 0.7622, 0.4604)  4 Pm 3.42-3.77, 1 Ce 3.51, 4 Sm 3.59-3.81
Sm (0.7622, 0.4604, 0.9001)  4 Pm 3.42-3.77, 1 Ce 3.51, 4 Sm 3.59-3.81
Sm (0.4604, 0.9001, 0.7622)  4 Pm 3.42-3.77, 1 Ce 3.51, 4 Sm 3.59-3.81



A plane-wave DFT calculation with PBE-GGA was carried out for a relaxed structure of PrSb2Rh3.

## Properties
energy relative to the lowest polymorph listed for this composition = 0.000 eV per atom
DOS(E_F) = 0.491 states/eV per atom
calculated density = 9.510 g cm⁻³
VASP energy = -6.58 eV/atom
total magnetic moment = 0.00 Bohr magnetons per cell
E_form (uncorrected) = -731 meV/atom

Unit cell a=4.2306 b=8.9208 c=10.3577 alpha=106.54 beta=90.00 gamma=103.72
Closest atoms and distances in Å follow each position.
Fractional coordinates of all 18 atoms:
Pr (0.1606, 0.3211, 0.7024)  6 Sb 3.25-3.38, 8 Rh 3.35-3.63
Pr (0.8394, 0.6789, 0.2976)  6 Sb 3.25-3.38, 8 Rh 3.35-3.63
Pr (0.0000, 0.0000, 0.0000)  6 Sb 3.22-3.33, 6 Rh 3.24-3.31
Sb (0.1934, 0.3867, 0.1260)  6 Rh 2.62-2.70
Sb (0.8066, 0.6133, 0.8740)  6 Rh 2.62-2.70
Sb (0.4617, 0.9233, 0.2216)  5 Rh 2.62-2.80
Sb (0.5383, 0.0767, 0.7784)  5 Rh 2.62-2.80
Sb (0.3601, 0.7202, 0.5443)  7 Rh 2.55-2.76
Sb (0.6399, 0.2798, 0.4557)  7 Rh 2.55-2.76
Rh (0.0442, 0.0885, 0.3331)  4 Sb 2.62-2.76, 1 Rh 2.85
Rh (0.9558, 0.9115, 0.6669)  4 Sb 2.62-2.76, 1 Rh 2.85
Rh (0.2154, 0.4309, 0.3905)  4 Sb 2.55-2.68, 1 Rh 2.85
Rh (0.7846, 0.5691, 0.6095)  4 Sb 2.55-2.68, 1 Rh 2.85
Rh (0.6185, 0.2370, 0.1994)  4 Sb 2.57-2.80
Rh (0.3815, 0.7630, 0.8006)  4 Sb 2.57-2.80
Rh (0.5000, 0.0000, 0.5000)  4 Sb 2.60-2.76
Rh (0.3206, 0.6412, 0.0387)  4 Sb 2.62-2.68
Rh (0.6794, 0.3588, 0.9613)  4 Sb 2.62-2.68



A plane-wave DFT calculation with PBE-GGA was carried out for a relaxed structure of Ce3Pd.

## Properties
energy relative to the lowest polymorph listed for this composition = 0.118 eV per atom
DOS(E_F) = 3.374 states/eV per atom
calculated density = 9.391 g cm⁻³
VASP energy = -5.93 eV/atom
total magnetic moment = 2.86 Bohr magnetons per cell

Unit cell a=5.0882 b=5.0882 c=5.0882 alpha=60.00 beta=60.00 gamma=60.00
Closest atoms and distances in Å follow each position.
Fractional coordinates of all 4 atoms:
Pd (0.5000, 0.5000, 0.5000)  8 Ce 3.12
Ce (0.0000, 0.0000, 0.0000)  8 Ce 3.12
Ce (0.7500, 0.7500, 0.7500)  4 Ce 3.12, 4 Pd 3.12
Ce (0.2500, 0.2500, 0.2500)  4 Ce 3.12, 4 Pd 3.12



A plane-wave DFT calculation with PBE-GGA was carried out for a relaxed structure of ReSiOs2.

## Properties
DOS(E_F) = 0.331 states/eV per atom
calculated density = 17.595 g cm⁻³
VASP energy = -10.11 eV/atom
total magnetic moment = 0.00 Bohr magnetons per cell
E_form (uncorrected) = -31 meV/atom

Unit cell a=8.5899 b=8.5899 c=8.5899 alpha=18.57 beta=18.57 gamma=18.57
Closest atoms and distances in Å follow each position.
Fractional coordinates of all 4 atoms:
Os (0.0043, 0.0043, 0.0043)  3 Si 2.56, 3 Re 2.74, 6 Os 2.77
Os (0.4957, 0.4957, 0.4957)  3 Si 2.56, 3 Re 2.74, 6 Os 2.77
Re (0.2500, 0.2500, 0.2500)  6 Os 2.74, 6 Re 2.77
Si (0.7500, 0.7500, 0.7500)  6 Os 2.56, 6 Si 2.77



A plane-wave DFT calculation with PBE-GGA was carried out for a relaxed structure of LiCaZnCu.

## Properties
DOS(E_F) = 0.514 states/eV per atom
calculated density = 3.610 g cm⁻³
VASP energy = -2.46 eV/atom
total magnetic moment = 0.00 Bohr magnetons per cell

Unit cell a=4.3816 b=4.3728 c=5.5052 alpha=113.57 beta=90.00 gamma=120.07
Closest atoms and distances in Å follow each position.
Fractional coordinates of all 4 atoms:
Li (0.8243, 0.6486, 0.1146)  3 Zn 2.67, 3 Cu 2.73-2.74, 1 Ca 2.92
Ca (0.6242, 0.2484, 0.5155)  4 Li 2.92-3.20, 4 Cu 3.01-3.15, 3 Zn 3.25-3.26
Zn (0.0987, 0.1973, 0.9378)  3 Cu 2.53, 3 Li 2.67
Cu (0.4191, 0.8383, 0.8995)  3 Zn 2.53, 3 Li 2.73-2.74



A plane-wave DFT calculation with PBE-GGA was carried out for a relaxed structure of Tl2TeI.

## Properties
energy relative to the lowest polymorph listed for this composition = 0.063 eV per atom
DOS(E_F) = 0.709 states/eV per atom
calculated density = 7.090 g cm⁻³
VASP energy = -2.70 eV/atom
total magnetic moment = 0.00 Bohr magnetons per cell
E_form (uncorrected) = -347 meV/atom

Unit cell a=6.6315 b=6.6348 c=14.1234 alpha=90.20 beta=90.00 gamma=90.00
Closest atoms and distances in Å follow each position.
Fractional coordinates of all 16 atoms:
Tl (0.7436, 0.9996, 0.8947)  3 Te 3.25-3.34, 2 I 3.33
Tl (0.2564, 0.0004, 0.1053)  3 Te 3.25-3.34, 2 I 3.33
Tl (0.7436, 0.5004, 0.6053)  3 Te 3.25-3.34, 2 I 3.33
Tl (0.2564, 0.4996, 0.3947)  3 Te 3.25-3.34, 2 I 3.33
Tl (0.7561, 0.5006, 0.1447)  3 Te 3.25-3.33, 2 I 3.32-3.33
Tl (0.2439, 0.4994, 0.8553)  3 Te 3.25-3.33, 2 I 3.32-3.33
Tl (0.7561, 0.9994, 0.3553)  3 Te 3.25-3.33, 2 I 3.32-3.33
Tl (0.2439, 0.0006, 0.6447)  3 Te 3.25-3.33, 2 I 3.32-3.33
Te (0.2423, 0.5007, 0.6249)  6 Tl 3.25-3.34
Te (0.7577, 0.4993, 0.3751)  6 Tl 3.25-3.34
Te (0.2423, 0.9993, 0.8751)  6 Tl 3.25-3.34
Te (0.7577, 0.0007, 0.1249)  6 Tl 3.25-3.34
I (0.2566, 0.9995, 0.3750)  4 Tl 3.32-3.33
I (0.7434, 0.0005, 0.6250)  4 Tl 3.32-3.33
I (0.2566, 0.5005, 0.1250)  4 Tl 3.32-3.33
I (0.7434, 0.4995, 0.8750)  4 Tl 3.32-3.33



A plane-wave DFT calculation with PBE-GGA was carried out for a relaxed structure of HoEr3Sn3.

## Properties
DOS(E_F) = 0.879 states/eV per atom
calculated density = 8.923 g cm⁻³
VASP energy = -4.83 eV/atom
total magnetic moment = 0.00 Bohr magnetons per cell

Unit cell a=5.4172 b=9.0080 c=9.0080 alpha=120.00 beta=90.00 gamma=90.00
Closest atoms and distances in Å follow each position.
Fractional coordinates of all 14 atoms:
Ho (0.2500, 0.6667, 0.3333)  9 Sn 3.29-3.45, 3 Er 3.49
Ho (0.7500, 0.3333, 0.6667)  9 Sn 3.29-3.45, 3 Er 3.49
Er (0.2500, 0.7689, 0.7614)  4 Sn 3.01-3.22
Er (0.2500, 0.2386, 0.0075)  4 Sn 3.01-3.22
Er (0.2500, 0.9925, 0.2311)  4 Sn 3.01-3.22
Er (0.7500, 0.2311, 0.2386)  4 Sn 3.01-3.22
Er (0.7500, 0.7614, 0.9925)  4 Sn 3.01-3.22
Er (0.7500, 0.0075, 0.7689)  4 Sn 3.01-3.22
Sn (0.7500, 0.6231, 0.5461)  4 Er 3.01-3.22, 1 Ho 3.29, 2 Sn 3.33
Sn (0.7500, 0.4539, 0.0770)  4 Er 3.01-3.22, 1 Ho 3.29, 2 Sn 3.33
Sn (0.7500, 0.9230, 0.3769)  4 Er 3.01-3.22, 1 Ho 3.29, 2 Sn 3.33
Sn (0.2500, 0.3769, 0.4539)  4 Er 3.01-3.22, 1 Ho 3.29, 2 Sn 3.33
Sn (0.2500, 0.5461, 0.9230)  4 Er 3.01-3.22, 1 Ho 3.29, 2 Sn 3.33
Sn (0.2500, 0.0770, 0.6231)  4 Er 3.01-3.22, 1 Ho 3.29, 2 Sn 3.33



A plane-wave DFT calculation with PBE-GGA was carried out for a relaxed structure of Pr6Tl5Ga.

## Properties
energy relative to the lowest polymorph listed for this composition = 0.130 eV per atom
DOS(E_F) = 1.111 states/eV per atom
calculated density = 8.323 g cm⁻³
VASP energy = -3.91 eV/atom
total magnetic moment = 0.00 Bohr magnetons per cell

Unit cell a=6.8204 b=9.6949 c=7.7318 alpha=51.17 beta=81.28 gamma=76.00
Closest atoms and distances in Å follow each position.
Fractional coordinates of all 12 atoms:
Pr (0.7776, 0.0661, 0.3231)  1 Ga 3.06, 4 Tl 3.28-3.36
Pr (0.2224, 0.6107, 0.3231)  1 Ga 3.06, 4 Tl 3.28-3.36
Pr (0.2775, 0.2152, 0.0000)  1 Ga 3.14, 5 Tl 3.35-3.46
Pr (0.7225, 0.7848, 0.0000)  1 Ga 3.14, 5 Tl 3.35-3.46
Pr (0.7776, 0.3893, 0.6769)  1 Ga 3.06, 4 Tl 3.28-3.36
Pr (0.2224, 0.9339, 0.6769)  1 Ga 3.06, 4 Tl 3.28-3.36
Tl (0.5000, 0.2047, 0.5905)  6 Pr 3.28-3.35, 1 Tl 3.56
Tl (0.0000, 0.3604, 0.2792)  6 Pr 3.36-3.39, 1 Tl 3.36
Tl (0.5000, 0.5000, 0.0000)  6 Pr 3.45-3.46, 6 Tl 3.56-3.80
Tl (0.0000, 0.6396, 0.7208)  6 Pr 3.36-3.39, 1 Tl 3.36
Tl (0.5000, 0.7953, 0.4095)  6 Pr 3.28-3.35, 1 Tl 3.56
Ga (0.0000, 0.0000, 0.0000)  6 Pr 3.06-3.14



A plane-wave DFT calculation with PBE-GGA was carried out for a relaxed structure of LaPr2DyY5.

## Properties
DOS(E_F) = 1.142 states/eV per atom
calculated density = 5.673 g cm⁻³
VASP energy = -5.48 eV/atom
total magnetic moment = 0.00 Bohr magnetons per cell

Unit cell a=8.7026 b=8.7026 c=10.0488 alpha=115.66 beta=115.66 gamma=90.00
Closest atoms and distances in Å follow each position.
Fractional coordinates of all 18 atoms:
La (0.2500, 0.7500, 0.5000)  4 Y 3.11
La (0.7500, 0.2500, 0.5000)  4 Y 3.11
Pr (0.1192, 0.3808, 0.0000)  1 Pr 2.93, 2 Y 3.07
Pr (0.6192, 0.1192, 0.0000)  1 Pr 2.93, 2 Y 3.07
Pr (0.3808, 0.8808, 0.0000)  1 Pr 2.93, 2 Y 3.07
Pr (0.8808, 0.6192, 0.0000)  1 Pr 2.93, 2 Y 3.07
Dy (0.2500, 0.2500, 0.5000)  10 Y 3.59-3.97
Dy (0.7500, 0.7500, 0.5000)  10 Y 3.59-3.97
Y (0.9313, 0.4313, 0.2775)  1 Pr 3.07, 1 La 3.11
Y (0.6538, 0.1538, 0.7225)  1 Pr 3.07, 1 La 3.11
Y (0.0687, 0.5687, 0.7225)  1 Pr 3.07, 1 La 3.11
Y (0.1538, 0.0687, 0.7225)  1 Pr 3.07, 1 La 3.11
Y (0.5687, 0.6538, 0.7225)  1 Pr 3.07, 1 La 3.11
Y (0.8462, 0.9313, 0.2775)  1 Pr 3.07, 1 La 3.11
Y (0.4313, 0.3462, 0.2775)  1 Pr 3.07, 1 La 3.11
Y (0.3462, 0.8462, 0.2775)  1 Pr 3.07, 1 La 3.11
Y (0.5000, 0.5000, 0.0000)  4 Pr 3.47, 8 Y 3.82
Y (0.0000, 0.0000, 0.0000)  4 Pr 3.47, 8 Y 3.82



A plane-wave DFT calculation with PBE-GGA was carried out for a relaxed structure of Sr4Li2Ca5.

## Properties
DOS(E_F) = 1.081 states/eV per atom
calculated density = 1.948 g cm⁻³
VASP energy = -1.80 eV/atom
total magnetic moment = 0.00 Bohr magnetons per cell

Unit cell a=4.1473 b=9.7156 c=11.9845 alpha=94.66 beta=90.00 gamma=90.00
Closest atoms and distances in Å follow each position.
Fractional coordinates of all 11 atoms:
Sr (0.5000, 0.7718, 0.5579)  4 Li 3.54-3.57
Sr (0.5000, 0.1784, 0.8566)  2 Li 3.51
Sr (0.5000, 0.2282, 0.4421)  4 Li 3.54-3.57
Sr (0.5000, 0.8216, 0.1434)  2 Li 3.51
Li (0.0000, 0.0645, 0.6311)  1 Li 3.29, 6 Sr 3.51-3.57, 1 Ca 3.65
Li (0.0000, 0.9355, 0.3689)  1 Li 3.29, 6 Sr 3.51-3.57, 1 Ca 3.65
Ca (0.0000, 0.5433, 0.3207)  1 Li 3.81, 4 Ca 3.83-4.15, 6 Sr 4.04-4.13
Ca (0.0000, 0.1753, 0.1492)  1 Li 3.65, 2 Ca 3.75-3.98, 6 Sr 4.01-4.08
Ca (0.0000, 0.5000, 0.0000)  6 Ca 3.75-4.15, 4 Sr 4.02
Ca (0.0000, 0.8247, 0.8508)  1 Li 3.65, 2 Ca 3.75-3.98, 6 Sr 4.01-4.08
Ca (0.0000, 0.4567, 0.6793)  1 Li 3.81, 4 Ca 3.83-4.15, 6 Sr 4.04-4.13



A plane-wave DFT calculation with PBE-GGA was carried out for a relaxed structure of TbMg3In2.

## Properties
DOS(E_F) = 0.362 states/eV per atom
calculated density = 5.243 g cm⁻³
VASP energy = -2.70 eV/atom
total magnetic moment = 0.00 Bohr magnetons per cell

Unit cell a=4.7784 b=9.5146 c=8.8834 alpha=49.07 beta=74.40 gamma=75.46
Closest atoms and distances in Å follow each position.
Fractional coordinates of all 12 atoms:
Tb (0.1150, 0.8177, 0.9522)  7 In 3.30-3.53, 5 Mg 3.38-3.60
Tb (0.8850, 0.1823, 0.0478)  7 In 3.30-3.53, 5 Mg 3.38-3.60
Mg (0.6998, 0.0797, 0.5207)  2 In 2.90-2.98, 3 Mg 2.94-2.99
Mg (0.0707, 0.3003, 0.5582)  3 In 2.86-3.00, 3 Mg 3.14-3.15
Mg (0.3754, 0.5019, 0.7472)  4 In 2.87-3.06, 3 Mg 2.99-3.14
Mg (0.6246, 0.4981, 0.2528)  4 In 2.87-3.06, 3 Mg 2.99-3.14
Mg (0.9293, 0.6997, 0.4418)  3 In 2.86-3.00, 3 Mg 3.14-3.15
Mg (0.3002, 0.9203, 0.4793)  2 In 2.90-2.98, 3 Mg 2.94-2.99
In (0.5206, 0.1647, 0.7940)  1 In 2.85, 4 Mg 2.86-2.90
In (0.4794, 0.8353, 0.2060)  1 In 2.85, 4 Mg 2.86-2.90
In (0.2393, 0.3367, 0.1846)  7 Mg 2.98-3.32
In (0.7607, 0.6633, 0.8154)  7 Mg 2.98-3.32



Please write out number 10 again, unchanged.
A plane-wave DFT calculation with PBE-GGA was carried out for a relaxed structure of LaPr2DyY5.

## Properties
DOS(E_F) = 1.142 states/eV per atom
calculated density = 5.673 g cm⁻³
VASP energy = -5.48 eV/atom
total magnetic moment = 0.00 Bohr magnetons per cell

Unit cell a=8.7026 b=8.7026 c=10.0488 alpha=115.66 beta=115.66 gamma=90.00
Closest atoms and distances in Å follow each position.
Fractional coordinates of all 18 atoms:
La (0.2500, 0.7500, 0.5000)  4 Y 3.11
La (0.7500, 0.2500, 0.5000)  4 Y 3.11
Pr (0.1192, 0.3808, 0.0000)  1 Pr 2.93, 2 Y 3.07
Pr (0.6192, 0.1192, 0.0000)  1 Pr 2.93, 2 Y 3.07
Pr (0.3808, 0.8808, 0.0000)  1 Pr 2.93, 2 Y 3.07
Pr (0.8808, 0.6192, 0.0000)  1 Pr 2.93, 2 Y 3.07
Dy (0.2500, 0.2500, 0.5000)  10 Y 3.59-3.97
Dy (0.7500, 0.7500, 0.5000)  10 Y 3.59-3.97
Y (0.9313, 0.4313, 0.2775)  1 Pr 3.07, 1 La 3.11
Y (0.6538, 0.1538, 0.7225)  1 Pr 3.07, 1 La 3.11
Y (0.0687, 0.5687, 0.7225)  1 Pr 3.07, 1 La 3.11
Y (0.1538, 0.0687, 0.7225)  1 Pr 3.07, 1 La 3.11
Y (0.5687, 0.6538, 0.7225)  1 Pr 3.07, 1 La 3.11
Y (0.8462, 0.9313, 0.2775)  1 Pr 3.07, 1 La 3.11
Y (0.4313, 0.3462, 0.2775)  1 Pr 3.07, 1 La 3.11
Y (0.3462, 0.8462, 0.2775)  1 Pr 3.07, 1 La 3.11
Y (0.5000, 0.5000, 0.0000)  4 Pr 3.47, 8 Y 3.82
Y (0.0000, 0.0000, 0.0000)  4 Pr 3.47, 8 Y 3.82



Look up the DOS(E_F) of the eighth one.
0.879 states/eV per atom